Computed, not measured: a geometry-optimized CrBiAs2O8 structure at the GGA+U level of DFT. Values from VASP.

```
&SYSTEM
  ibrav = 0, nat = 12, ntyp = 4
/
ATOMIC_SPECIES
O 16.00 O.upf
As 74.92 As.upf
Cr 52.00 Cr.upf
Bi 208.98 Bi.upf
CELL_PARAMETERS angstrom
-1.778 -5.393 1.979
5.759 0.733 -1.569
-0.848 3.731 4.639
ATOMIC_POSITIONS crystal
O 0.489 0.673 0.815
As 0.500 0.500 0.000
Cr 0.250 0.750 0.500
O 0.950 0.618 0.668
Bi 0.000 0.000 0.000
O 0.718 0.050 0.668
As 0.750 0.250 0.500
O 0.382 0.050 0.332
O 0.327 0.511 0.185
O 0.327 0.142 0.815
O 0.950 0.282 0.332
O 0.858 0.673 0.185
```

Results
magnetization: 3.0 μB/f.u.
total DFT energy (no corrections): -74.61 eV for the cell shown